Entry 1:
A PBEsol-optimized structure of MgAg2Sb. Source: Alexandria via LeMat-Bulk, functional SCAN.

POSCAR file:
```
MgAg2Sb
1.0
3.1496 0.0000 0.0000
-1.5748 4.7806 -0.0017
0.0000 -0.9569 5.2775
Ag Sb Mg
2 1 1
direct
0.7495 0.4989 0.2516
0.0047 0.0095 0.0222
0.2525 0.5050 0.7615
0.4933 0.9866 0.4647
```

Output
Formation energy without anion corrections = -0.03 eV per atom
V = 79.46 Å³/f.u.
Space-group type = No. 8
Density = 7.56 g cm⁻³

Entry 2:
A PBEsol-optimized structure of MgAg2Sb. Source: Alexandria via LeMat-Bulk, functional SCAN.

POSCAR file:
```
MgAg2Sb
1.0
-1.9484 3.7479 0.0673
-0.4411 -0.2954 4.1911
5.0273 0.2384 -1.6038
Ag Sb Mg
2 1 1
direct
0.4995 0.5005 0.0000
0.7499 0.2501 0.5000
0.2499 0.7501 0.5000
0.0006 0.9994 0.0000
```

Output
Formation energy without anion corrections = -0.09 eV per atom
V = 77.43 Å³/f.u.
Space-group type = No. 5
Density = 7.76 g cm⁻³

Entry 3:
A PBEsol-optimized structure of MgAgSb. Source: Alexandria via LeMat-Bulk, functional SCAN.

POSCAR file:
```
MgAgSb
1.0
-3.9789 1.4346 1.7508
-3.6372 0.5424 -2.7260
-3.5397 -2.8865 0.3051
Mg Sb Ag
1 1 1
direct
0.5000 0.5000 0.5000
0.0000 0.0000 0.0000
0.7500 0.7500 0.7500
```

Output
Excess energy over the best structure of this formula in the dataset = 0.000 eV/atom
Formation energy without anion corrections = -0.31 eV per atom
V = 67.83 Å³/f.u.
Space-group type = No. 216
Density = 6.22 g cm⁻³

Entry 4:
A PBEsol-optimized structure of MgAg2Sb. Source: Alexandria via LeMat-Bulk, functional SCAN.

POSCAR file:
```
MgAg2Sb
1.0
-3.6344 -1.5064 -1.5372
1.8951 -0.8096 -3.6871
1.9183 -2.8113 4.0227
Mg Ag Sb
1 2 1
direct
0.5000 0.5000 0.0000
0.2500 0.7500 0.5000
0.7500 0.2500 0.5000
0.0000 0.0000 0.0000
```

Output
Formation energy without anion corrections = -0.10 eV per atom
V = 77.45 Å³/f.u.
Space-group type = No. 139
Density = 7.76 g cm⁻³

Entry 5:
A PBEsol-optimized structure of MgAg2Sb. Source: Alexandria via LeMat-Bulk, functional SCAN.

POSCAR file:
```
MgAg2Sb
1.0
-1.3104 -2.6875 -1.3287
2.3536 0.4410 -3.2130
4.2069 -3.3477 2.6222
Ag Sb Mg
2 1 1
direct
0.5000 0.5000 0.2476
0.0000 0.0000 0.0184
0.5000 0.5000 0.7563
0.0000 0.0000 0.4777
```

Output
Formation energy without anion corrections = -0.07 eV per atom
V = 78.43 Å³/f.u.
Space-group type = No. 25
Density = 7.66 g cm⁻³

Entry 6:
A PBEsol-optimized structure of MgAgSb2. Source: Alexandria via LeMat-Bulk, functional SCAN.

POSCAR file:
```
MgAgSb2
1.0
4.2182 0.0000 0.0000
0.0000 4.2182 0.0000
-2.1091 -2.1091 5.0815
Sb Mg Ag
2 1 1
direct
0.7500 0.2500 0.5000
0.0000 0.0000 0.0000
0.2500 0.7500 0.5000
0.5000 0.5000 0.0000
```

Output
Formation energy without anion corrections = 0.02 eV per atom
V = 90.42 Å³/f.u.
Space-group type = No. 119
Density = 6.90 g cm⁻³

Entry 7:
A PBEsol-optimized structure of MgAgSb. Source: Alexandria via LeMat-Bulk, functional SCAN.

POSCAR file:
```
MgAgSb
1.0
4.3912 0.0000 0.0000
0.0000 4.3912 0.0000
0.0000 0.0000 6.7587
Ag Sb Mg
2 2 2
direct
0.0000 0.0000 0.0000
0.5000 0.5000 0.0000
0.5000 0.0000 0.7208
0.0000 0.5000 0.2792
0.0000 0.5000 0.7046
0.5000 0.0000 0.2954
```

Output
Excess energy over the best structure of this formula in the dataset = 0.075 eV/atom
Formation energy without anion corrections = -0.24 eV per atom
V = 65.16 Å³/f.u.
Space-group type = No. 129
Density = 6.47 g cm⁻³

Entry 8:
A PBEsol-optimized structure of MgAg2Sb. Source: Alexandria via LeMat-Bulk, functional SCAN.

POSCAR file:
```
MgAg2Sb
1.0
3.4378 0.0000 0.0000
0.0000 3.8657 0.0000
0.0000 0.0000 5.9019
Ag Mg Sb
2 1 1
direct
0.0000 0.0000 0.2367
0.0000 0.0000 0.7633
0.5000 0.5000 0.0000
0.5000 0.5000 0.5000
```

Output
Formation energy without anion corrections = -0.08 eV per atom
V = 78.43 Å³/f.u.
Space-group type = No. 47
Density = 7.66 g cm⁻³

Entry 9:
A PBEsol-optimized structure of MgAgSb2Te. Source: Alexandria via LeMat-Bulk, functional SCAN.

POSCAR file:
```
MgAgSb2Te
1.0
-3.9899 -2.7972 -1.9670
-0.3077 -2.7168 4.4875
-3.5426 3.6641 1.9754
Te Sb Mg Ag
1 2 1 1
direct
0.0000 0.0000 0.5000
0.0000 0.5000 0.0000
0.5000 0.0000 0.0000
0.5000 0.5000 0.5000
0.0000 0.0000 0.0000
```

Output
Formation energy without anion corrections = 0.55 eV per atom
V = 150.93 Å³/f.u.
Space-group type = No. 123
Density = 5.54 g cm⁻³

Entry 10:
A PBEsol-optimized structure of MgScAg2. Source: Alexandria via LeMat-Bulk, functional SCAN.

POSCAR file:
```
MgScAg2
1.0
-0.5877 -2.3917 3.4774
3.9661 -1.5135 -0.3707
-0.3184 4.9784 0.7593
Ag Mg Sc
2 1 1
direct
0.7500 0.2500 0.5000
0.0000 0.0000 0.0000
0.5000 0.5000 0.0000
0.2500 0.7500 0.5000
```

Output
Formation enthalpy at 0 K = -0.8 eV/f.u.
V = 73.50 Å³/f.u.
Space-group type = No. 119
Density = 6.44 g cm⁻³

Entry 11:
A PBEsol-optimized structure of Mg2ScAg2. Source: Alexandria via LeMat-Bulk, functional SCAN.

POSCAR file:
```
Mg2ScAg2
1.0
3.1745 0.0000 0.0000
0.0000 7.8278 0.0000
0.0000 0.0000 7.8278
Sc Ag Mg
2 4 4
direct
0.0000 0.0000 0.0000
0.0000 0.5000 0.5000
0.0000 0.8640 0.6360
0.0000 0.3640 0.8640
0.0000 0.1360 0.3640
0.0000 0.6360 0.1360
0.5000 0.6599 0.8401
0.5000 0.3401 0.1599
0.5000 0.8401 0.3401
0.5000 0.1599 0.6599
```

Output
Formation enthalpy at 0 K = -1.0 eV/f.u.
V = 97.26 Å³/f.u.
Space-group type = No. 127
Density = 5.28 g cm⁻³

Entry 12:
A PBEsol-optimized structure of MgScAg. Source: Alexandria via LeMat-Bulk, functional SCAN.

POSCAR file:
```
MgScAg
1.0
3.0712 0.0000 0.0000
0.0000 4.7419 0.0000
0.0000 -2.3710 4.1066
Sc Ag Mg
1 1 1
direct
0.3334 0.6667 0.3333
0.8331 0.0000 0.0000
0.8335 0.3333 0.6667
```

Output
Formation enthalpy at 0 K = -0.5 eV/f.u.
V = 59.81 Å³/f.u.
Space-group type = No. 187
Density = 4.92 g cm⁻³

Entry 13:
A PBEsol-optimized structure of MgScAg. Source: Alexandria via LeMat-Bulk, functional SCAN.

POSCAR file:
```
MgScAg
1.0
3.2563 0.0000 0.0000
0.0000 3.2563 0.0000
-1.6282 -1.6282 5.6979
Mg Sc Ag
1 1 1
direct
0.6492 0.6492 0.2984
0.3476 0.3476 0.6952
0.0032 0.0032 0.0064
```

Output
Formation enthalpy at 0 K = -0.6 eV/f.u.
V = 60.42 Å³/f.u.
Space-group type = No. 107
Density = 4.87 g cm⁻³

Entry 14:
A PBEsol-optimized structure of MgScAg2. Source: Alexandria via LeMat-Bulk, functional SCAN.

POSCAR file:
```
MgScAg2
1.0
3.4664 0.0000 0.0000
0.0000 3.4455 0.0000
0.0000 0.0000 6.3747
Mg Sc Ag
1 1 2
direct
0.0000 0.0000 0.4633
0.5000 0.5000 0.7816
0.5000 0.5000 0.2507
0.0000 0.0000 0.0044
```

Output
Formation enthalpy at 0 K = -0.8 eV/f.u.
V = 76.14 Å³/f.u.
Space-group type = No. 25
Density = 6.22 g cm⁻³

Entry 15:
A PBEsol-optimized structure of MgScAg2. Source: Alexandria via LeMat-Bulk, functional SCAN.

POSCAR file:
```
MgScAg2
1.0
3.2389 0.0000 0.0000
0.0000 4.7985 0.0000
0.0000 0.0000 4.7985
Sc Ag Mg
1 2 1
direct
0.5000 0.0000 0.0000
0.0000 0.5000 0.0000
0.0000 0.0000 0.5000
0.5000 0.5000 0.5000
```

Output
Formation enthalpy at 0 K = -1.1 eV/f.u.
V = 74.58 Å³/f.u.
Space-group type = No. 123
Density = 6.35 g cm⁻³

Entry 16:
A PBEsol-optimized structure of MgScAg2. Source: Alexandria via LeMat-Bulk, functional SCAN.

POSCAR file:
```
MgScAg2
1.0
3.2391 0.0000 0.0000
0.0000 4.8580 0.0108
-1.6195 -1.2411 4.7666
Mg Ag Sc
1 2 1
direct
0.5113 0.5492 0.0225
0.9937 0.0243 0.9874
0.2545 0.7194 0.5091
0.7405 0.2071 0.4810
```

Output
Formation enthalpy at 0 K = -0.9 eV/f.u.
V = 75.05 Å³/f.u.
Space-group type = No. 8
Density = 6.31 g cm⁻³

Entry 17:
A PBEsol-optimized structure of MgScAg2. Source: Alexandria via LeMat-Bulk, functional SCAN.

POSCAR file:
```
MgScAg2
1.0
2.9982 0.0000 0.0000
-1.4991 4.6014 0.0329
0.0000 -0.8708 5.5022
Ag Mg Sc
2 1 1
direct
0.7517 0.5033 0.7565
0.2483 0.4967 0.2435
0.5000 0.0000 0.0000
0.0000 0.0000 0.5000
```

Output
Formation enthalpy at 0 K = -0.4 eV/f.u.
V = 76.00 Å³/f.u.
Space-group type = No. 12
Density = 6.23 g cm⁻³

Entry 18:
A PBEsol-optimized structure of MgAg2Se. Source: Alexandria via LeMat-Bulk, functional SCAN.

POSCAR file:
```
MgAg2Se
1.0
-1.8763 -2.8953 0.8138
0.4211 -1.2120 -3.3412
4.8811 -2.2247 3.3392
Ag Mg Se
2 1 1
direct
0.5000 0.5680 0.1360
0.0000 0.1655 0.3310
0.0000 0.9243 0.8485
0.5000 0.3417 0.6834
```

Output
Excess energy over the best structure of this formula in the dataset = 0.000 eV/atom
Formation energy without anion corrections = -0.37 eV per atom
V = 76.88 Å³/f.u.
Space-group type = No. 38
Density = 6.89 g cm⁻³

Entry 19:
A PBEsol-optimized structure of MgAg2Se. Source: Alexandria via LeMat-Bulk, functional SCAN.

POSCAR file:
```
MgAg2Se
1.0
3.9027 0.0000 0.0000
0.0000 3.9027 0.0000
-1.9513 -1.9513 4.8023
Se Ag Mg
1 2 1
direct
0.5000 0.5000 0.0000
0.2500 0.7500 0.5000
0.7500 0.2500 0.5000
0.0000 0.0000 0.0000
```

Output
Excess energy over the best structure of this formula in the dataset = 0.129 eV/atom
Formation energy without anion corrections = -0.24 eV per atom
V = 73.14 Å³/f.u.
Space-group type = No. 139
Density = 7.24 g cm⁻³

Entry 20:
A PBEsol-optimized structure of MgAg2Se. Source: Alexandria via LeMat-Bulk, functional SCAN.

POSCAR file:
```
MgAg2Se
1.0
4.7231 0.0000 0.0000
2.3615 4.0903 0.0000
2.3615 1.3634 3.8564
Ag Se Mg
2 1 1
direct
0.7500 0.7500 0.7500
0.2500 0.2500 0.2500
0.5000 0.5000 0.5000
0.0000 0.0000 0.0000
```

Output
Excess energy over the best structure of this formula in the dataset = 0.350 eV/atom
Formation energy without anion corrections = -0.02 eV per atom
V = 74.50 Å³/f.u.
Space-group type = No. 225
Density = 7.11 g cm⁻³

Entry 21:
A PBEsol-optimized structure of MgAg2Se2. Source: Alexandria via LeMat-Bulk, functional SCAN.

POSCAR file:
```
MgAg2Se2
1.0
3.8019 0.0000 0.0000
0.0000 3.8019 0.0000
-1.9010 -1.9010 7.0958
Se Ag Mg
2 2 1
direct
0.3924 0.3924 0.7847
0.6076 0.6076 0.2153
0.7500 0.2500 0.5000
0.2500 0.7500 0.5000
0.0000 0.0000 0.0000
```

Output
Formation energy without anion corrections = -0.29 eV per atom
V = 102.57 Å³/f.u.
Space-group type = No. 139
Density = 6.44 g cm⁻³

Entry 22:
A PBEsol-optimized structure of MgAg2Se. Source: Alexandria via LeMat-Bulk, functional SCAN.

POSCAR file:
```
MgAg2Se
1.0
-1.2258 4.4025 -1.1665
-3.3554 0.7358 -3.2319
-4.1997 1.7032 1.3065
Mg Se Ag
1 1 2
direct
0.5000 0.5000 0.5000
0.2500 0.2500 0.2500
0.0000 0.0000 0.0000
0.7500 0.7500 0.7500
```

Output
Excess energy over the best structure of this formula in the dataset = 0.246 eV/atom
Formation energy without anion corrections = -0.13 eV per atom
V = 74.19 Å³/f.u.
Space-group type = No. 216
Density = 7.14 g cm⁻³

Entry 23:
A PBEsol-optimized structure of MgSiAg3. Source: Alexandria via LeMat-Bulk, functional SCAN.

POSCAR file:
```
MgSiAg3
1.0
4.7102 0.0000 0.0000
0.0000 4.7102 0.0000
0.0000 0.0000 4.7102
Ag Mg Si
3 1 1
direct
0.0000 0.5000 0.0000
0.5000 0.0000 0.0000
0.0000 0.0000 0.5000
0.5000 0.5000 0.5000
0.0000 0.0000 0.0000
```

Output
Formation energy without anion corrections = 0.31 eV per atom
V = 104.50 Å³/f.u.
Space-group type = No. 221
Density = 5.97 g cm⁻³

Entry 24:
A PBEsol-optimized structure of SmMgAg. Source: Alexandria via LeMat-Bulk, functional SCAN.

POSCAR file:
```
SmMgAg
1.0
4.1274 0.0000 0.0000
0.0000 7.7000 0.0000
0.0000 -3.8500 6.6684
Sm Mg Ag
3 3 3
direct
0.5000 0.4147 0.4147
0.5000 0.5853 0.0000
0.5000 0.0000 0.5853
0.0000 0.7556 0.7556
0.0000 0.2444 0.0000
0.0000 0.0000 0.2444
0.5000 0.0000 0.0000
0.0000 0.3333 0.6667
0.0000 0.6667 0.3333
```

Output
Formation enthalpy at 0 K = -1.0 eV/f.u.
V = 70.64 Å³/f.u.
Space-group type = No. 189
Density = 6.64 g cm⁻³

Entry 25:
A PBEsol-optimized structure of Mg2Ag2Sn. Source: Alexandria via LeMat-Bulk, functional SCAN.

POSCAR file:
```
Mg2Ag2Sn
1.0
-2.6450 0.8950 -1.7392
-4.1670 -5.4587 3.5282
-1.9261 5.0399 5.5226
Sn Mg Ag
2 4 4
direct
0.0000 0.0000 0.0000
0.0000 0.5000 0.5000
0.5000 0.6653 0.8347
0.5000 0.3347 0.1653
0.5000 0.8347 0.3347
0.5000 0.1653 0.6653
0.0000 0.8698 0.6302
0.0000 0.1302 0.3698
0.0000 0.6302 0.1302
0.0000 0.3698 0.8698
```

Output
Formation enthalpy at 0 K = -0.8 eV/f.u.
V = 98.05 Å³/f.u.
Space-group type = No. 127
Density = 6.49 g cm⁻³

Entry 26:
A PBEsol-optimized structure of Sr3MgAg. Source: Alexandria via LeMat-Bulk, functional SCAN.

POSCAR file:
```
Sr3MgAg
1.0
6.0146 0.0000 0.0000
0.0000 6.0146 0.0000
0.0000 0.0000 6.0146
Sr Ag Mg
3 1 1
direct
0.0000 0.5000 0.0000
0.0000 0.0000 0.5000
0.5000 0.0000 0.0000
0.0000 0.0000 0.0000
0.5000 0.5000 0.5000
```

Output
Formation enthalpy at 0 K = 0.0 eV/f.u.
Excess energy over the best structure of this formula in the dataset = 0.000 eV/atom
V = 217.58 Å³/f.u.
Space-group type = No. 221
Density = 3.01 g cm⁻³

Entry 27:
A PBEsol-optimized structure of SrMgAg2. Source: Alexandria via LeMat-Bulk, functional SCAN.

POSCAR file:
```
SrMgAg2
1.0
-0.1860 3.3634 -1.3264
-0.1978 -1.8740 -4.7244
-5.0758 -0.1703 0.2801
Ag Sr Mg
2 1 1
direct
0.0000 0.0000 0.5000
0.0000 0.5000 0.0000
0.5000 0.0000 0.0000
0.5000 0.5000 0.5000
```

Output
Formation enthalpy at 0 K = -0.4 eV/f.u.
V = 93.66 Å³/f.u.
Space-group type = No. 123
Density = 5.81 g cm⁻³

Entry 28:
A PBEsol-optimized structure of SrMgAg. Source: Alexandria via LeMat-Bulk, functional SCAN.

POSCAR file:
```
SrMgAg
1.0
4.2693 0.0000 0.0000
0.0000 4.8038 0.0000
0.0000 -2.4019 4.1602
Ag Sr Mg
1 1 1
direct
0.0000 0.0000 0.0000
0.5000 0.6667 0.3333
0.0000 0.3333 0.6667
```

Output
Formation enthalpy at 0 K = -0.7 eV/f.u.
V = 85.32 Å³/f.u.
Space-group type = No. 187
Density = 4.28 g cm⁻³

Entry 29:
A PBEsol-optimized structure of SrMgAg4. Source: Alexandria via LeMat-Bulk, functional SCAN.

POSCAR file:
```
SrMgAg4
1.0
5.6110 0.0000 0.0000
2.8055 4.8593 0.0000
2.8055 1.6198 4.5814
Ag Sr Mg
4 1 1
direct
0.3758 0.8727 0.3758
0.3758 0.3758 0.3758
0.8727 0.3758 0.3758
0.3758 0.3758 0.8727
0.0000 0.0000 0.0000
0.7500 0.7500 0.7500
```

Output
Formation enthalpy at 0 K = -1.2 eV/f.u.
V = 124.91 Å³/f.u.
Space-group type = No. 216
Density = 7.22 g cm⁻³